KSn2Ru2 | GGA-PBE | relaxed

Summary:
For the raw total energy, the calculation gives -0.399 Ry per atom. For the formation energy, the calculation gives 0.0988 eV/atom. Its offset from the most stable computed form is 0 meV/atom.

Cell lengths 8.0597, 8.0597, 3.0613 Å; angles 90.00, 90.00, 90.00 degrees
Space group P4/mbm (No. 127)
One atom of each set of equivalent atoms:
K  0.0000  0.0000  0.0000 [2 per cell]
Sn  0.1502  0.3498  0.5000 [4 per cell]
Ru  0.1392  0.6392  0.0000 [4 per cell]

KSnRu3 | GGA-PBE | relaxed

Summary:
For the raw total energy, the calculation gives -0.368 Ry per atom. For the formation energy, the calculation gives 1.5825 eV/atom. Its offset from the most stable computed form is 0 meV/atom.

Cell lengths 5.0353, 5.0353, 5.0353 Å; angles 90.00, 90.00, 90.00 degrees
Space group Pm-3m (No. 221)
One atom of each set of equivalent atoms:
K  0.0000  0.0000  0.0000 [1 per cell]
Sn  0.5000  0.5000  0.5000 [1 per cell]
Ru  0.0000  0.5000  0.5000 [3 per cell]

K2SnTeRu | GGA-PBE | relaxed

Summary:
For the raw total energy, the calculation gives -0.235 Ry per atom.

Cell lengths 6.4516, 6.4516, 4.9976 Å; angles 90.00, 90.00, 90.00 degrees
Space group P4/mmm (No. 123)
One atom of each set of equivalent atoms:
K  0.0000  0.5000  0.0000 [2 per cell]
Sn  0.0000  0.0000  0.0000 [1 per cell]
Te  0.5000  0.5000  0.5000 [1 per cell]
Ru  0.0000  0.0000  0.5000 [1 per cell]

K2VSnRu | GGA-PBE | relaxed

Summary:
For the raw total energy, the calculation gives -0.231 Ry per atom. For the formation energy, the calculation gives 1.7786 eV/atom.

Cell lengths 5.8212, 5.8212, 5.1744 Å; angles 90.00, 90.00, 90.00 degrees
Space group P4/mmm (No. 123)
One atom of each set of equivalent atoms:
K  0.0000  0.5000  0.0000 [2 per cell]
V  0.0000  0.0000  0.0000 [1 per cell]
Sn  0.0000  0.0000  0.5000 [1 per cell]
Ru  0.5000  0.5000  0.5000 [1 per cell]

KZn2SnRu | GGA-PBE | relaxed

Summary:
For the raw total energy, the calculation gives -0.252 Ry per atom. For the formation energy, the calculation gives -0.0481 eV/atom.

Cell lengths 5.0030, 5.0030, 5.0281 Å; angles 90.00, 90.00, 90.00 degrees
Space group P4/mmm (No. 123)
One atom of each set of equivalent atoms:
K  0.0000  0.0000  0.0000 [1 per cell]
Zn  0.0000  0.5000  0.5000 [2 per cell]
Sn  0.5000  0.5000  0.0000 [1 per cell]
Ru  0.5000  0.5000  0.5000 [1 per cell]

K3SrRu | GGA-PBE | relaxed

Summary:
For the raw total energy, the calculation gives -0.092 Ry per atom. For the formation energy, the calculation gives 1.5931 eV/atom. Its offset from the most stable computed form is 586 meV/atom.

Cell lengths 7.4568, 7.4568, 7.4568 Å; angles 90.00, 90.00, 90.00 degrees
Space group Pm-3m (No. 221)
One atom of each set of equivalent atoms:
K  0.0000  0.0000  0.5000 [3 per cell]
Sr  0.0000  0.0000  0.0000 [1 per cell]
Ru  0.5000  0.5000  0.5000 [1 per cell]

KSr2Ru | GGA-PBE | relaxed

Summary:
For the raw total energy, the calculation gives -0.208 Ry per atom. For the formation energy, the calculation gives 0.6055 eV/atom. Its offset from the most stable computed form is 268 meV/atom.

Cell lengths 7.9374, 7.9374, 7.9374 Å; angles 90.00, 90.00, 90.00 degrees
Space group Fm-3m (No. 225)
One atom of each set of equivalent atoms:
K  0.0000  0.0000  0.0000 [4 per cell]
Sr  0.2500  0.2500  0.2500 [8 per cell]
Ru  0.0000  0.0000  0.5000 [4 per cell]

KSr2Ru | GGA-PBE | relaxed

Summary:
For the raw total energy, the calculation gives -0.208 Ry per atom. For the formation energy, the calculation gives 0.5994 eV/atom. Its offset from the most stable computed form is 262 meV/atom.

Cell lengths 8.5402, 8.5402, 12.0821 Å; angles 90.00, 90.00, 90.00 degrees
Space group I-42d (No. 122)
One atom of each set of equivalent atoms:
K  0.0000  0.0000  0.0000 [4 per cell]
Sr  0.0014  0.2500  0.6250 [8 per cell]
Ru  0.0000  0.0000  0.5000 [4 per cell]

Q: Number 4 is which compound?
A: K2VSnRu

Q: Which of these has the lowest raw total energy?
A: KSn2Ru2

Q: Which of these has the lowest raw total energy?
A: KSn2Ru2